## NdDy4Pb4 (PBE)

Data for a relaxed structure of NdDy4Pb4.

abc: 10.0475 10.0475 6.2097
angles: 90.00 90.00 90.00
Last column: nearest neighbours and their distance in Å.
Space group P4_2/n (No. 86, origin choice 2)
One atom of each set of equivalent atoms:
1 Nd 0.2500 0.2500 0.2500 [2 per cell]  4 Pb 3.21
2 Dy 0.0911 0.6497 0.1580 [8 per cell]  5 Pb 3.12-3.21
3 Pb 0.0366 0.6194 0.6654 [8 per cell]  5 Dy 3.12-3.21, 1 Nd 3.21, 1 Pb 3.24

Output
For the formation energy from the elements, the calculation gives -5.3 kcal/mol of atoms. The total energy comes out at -4.45 eV per atom. The total magnetization is 0.0 μB per formula unit.